[1]
Entry from the Alexandria database: an optimized crystal structure of Ce2SmAs (PBE).

Results
* calculated total energy: -5.76 eV per atom
* formation energy from the elements: -0.45 eV per atom
* total moment: 4.3 μB per cell

Cell: 3.8513 3.8513 28.7397 Å, 90.00 90.00 120.00°
Last column: nearest neighbours and their distance in Å.
Space group R-3m (No. 166, hexagonal axes)
Inequivalent atoms, fractional coordinates:
Ce1 0.0000 0.0000 0.2315 (multiplicity 6)  3 As 2.90
Sm1 0.0000 0.0000 0.0000 (multiplicity 3)  6 Ce 3.68, 6 Sm 3.85
As1 0.0000 0.0000 0.5000 (multiplicity 3)  6 Ce 2.90

[2]
Entry from the Alexandria database: an optimized crystal structure of BaCoSeBr2 (PBE).

Results
* calculated total energy: -3.09 eV per atom
* ΔE_f (raw): 0.09 eV per atom
* total moment: 1.6 μB per cell

Cell: 6.1990 6.1990 6.5063 Å, 90.00 90.00 90.00°
Last column: nearest neighbours and their distance in Å.
Space group P4/mmm (No. 123)
Inequivalent atoms, fractional coordinates:
Ba1 0.0000 0.0000 0.0000 (multiplicity 1)  4 Br 3.10, 2 Se 3.25
Co1 0.5000 0.5000 0.5000 (multiplicity 1)  4 Se 4.38, 8 Br 4.49
Se1 0.0000 0.0000 0.5000 (multiplicity 1)  2 Ba 3.25
Br1 0.0000 0.5000 0.0000 (multiplicity 2)  2 Ba 3.10

[3]
Entry from the Alexandria database: an optimized crystal structure of BeRu2Br (PBE).

Results
* calculated total energy: -5.54 eV per atom
* ΔE_f (raw): 0.45 eV per atom
* total moment: 0.0 μB per cell

Cell: 6.4715 3.1585 6.1141 Å, 90.00 93.50 90.00°
Last column: nearest neighbours and their distance in Å.
Space group Cm (No. 8)
Inequivalent atoms, fractional coordinates:
Be1 0.0000 0.0000 0.0000 (multiplicity 2)  6 Ru 2.19-2.30
Ru1 0.1696 0.5000 0.8377 (multiplicity 2)  3 Be 2.19-2.30
Ru2 0.3277 0.0000 0.1625 (multiplicity 2)  3 Be 2.20-2.29
Br1 0.0726 0.0000 0.4806 (multiplicity 2)  5 Ru 2.63-2.90

[4]
Entry from the Alexandria database: an optimized crystal structure of ZrP2Os (PBE).

Results
* calculated total energy: -8.09 eV per atom
* formation energy from the elements: -0.44 eV per atom
* total moment: 0.0 μB per cell

Cell: 4.3980 4.3980 3.0818 Å, 90.00 90.00 90.00°
Last column: nearest neighbours and their distance in Å.
Space group P4/mmm (No. 123)
Inequivalent atoms, fractional coordinates:
Zr1 0.0000 0.0000 0.0000 (multiplicity 1)  8 P 2.69
P1 0.0000 0.5000 0.5000 (multiplicity 2)  4 Os 2.69, 4 Zr 2.69
Os1 0.5000 0.5000 0.0000 (multiplicity 1)  8 P 2.69

[5]
Entry from the Alexandria database: an optimized crystal structure of NaV2Br (PBE).

Results
* calculated total energy: -4.20 eV per atom
* ΔE_f (raw): 1.10 eV per atom
* total moment: 32.1 μB per cell

Cell: 7.0476 7.0476 7.0476 Å, 90.00 90.00 90.00°
Last column: nearest neighbours and their distance in Å.
Space group Fm-3m (No. 225)
Inequivalent atoms, fractional coordinates:
Na1 0.0000 0.0000 0.0000 (multiplicity 4)  8 V 3.05
V1 0.2500 0.2500 0.2500 (multiplicity 8)  4 Na 3.05, 4 Br 3.05
Br1 0.0000 0.0000 0.5000 (multiplicity 4)  8 V 3.05

[6]
Entry from the Alexandria database: an optimized crystal structure of CsEr2MgTe4 (PBE).

Results
* calculated total energy: -4.15 eV per atom
* ΔE_f (raw): -1.14 eV per atom
* total moment: 0.0 μB per cell

Cell: 4.5014 15.6579 15.7874 Å, 90.00 90.00 90.00°
Last column: nearest neighbours and their distance in Å.
Space group Cmcm (No. 63)
Inequivalent atoms, fractional coordinates:
Cs1 0.0000 0.1179 0.2500 (multiplicity 4)  6 Te 3.66-3.81, 2 Mg 4.04
Er1 0.0000 0.3773 0.0545 (multiplicity 8)  6 Te 3.08-3.21
Mg1 0.0000 0.1677 0.7500 (multiplicity 4)  4 Te 2.73-2.75
Te1 0.0000 0.0000 0.0000 (multiplicity 4)  4 Er 3.08
Te2 0.0000 0.2565 0.6009 (multiplicity 8)  1 Mg 2.73
Te3 0.0000 0.4336 0.2500 (multiplicity 4)  2 Mg 2.75